# Li4Sn5Au2 (PBE, relaxed)
data_Li4Sn5Au2
_space_group_name_H-M_alt 'P 1'
_space_group_IT_number 1
_cell_length_a 7.746
_cell_length_b 3.141
_cell_length_c 9.350
_cell_angle_alpha 90.00
_cell_angle_beta 92.05
_cell_angle_gamma 90.00
loop_
_space_group_symop_operation_xyz
'x,y,z'
loop_
_atom_site_label
_atom_site_fract_x
_atom_site_fract_y
_atom_site_fract_z
_atom_site_occupancy
Li1 0.207 0.000 0.414 1
Li2 0.212 0.000 0.858 1
Li3 0.788 0.000 0.142 1
Li4 0.793 0.000 0.586 1
Sn1 0.131 0.500 0.132 1
Sn2 0.458 0.500 0.662 1
Sn3 0.500 0.500 0.000 1
Sn4 0.542 0.500 0.338 1
Sn5 0.869 0.500 0.868 1
Au1 0.095 0.500 0.634 1
Au2 0.905 0.500 0.366 1
# E_tot: -3.462 eV/atom
# Space-group type: P2/m (10)
# ΔE_f: -0.3509 eV per atom